Entry 1:
# Ba2LiNiHg PBE-GGA relaxed
data_Ba2LiNiHg
_chemical_formula_sum 'Ba2 Li1 Ni1 Hg1'
_cell_length_a 5.9630
_cell_length_b 5.9630
_cell_length_c 5.1063
_cell_angle_alpha 90.00
_cell_angle_beta 90.00
_cell_angle_gamma 90.00
_space_group_name_H-M_alt 'P 4/m m m'
_space_group_IT_number 123
_space_group_name_Hall '-P 4 2'
loop_
_atom_site_label
_atom_site_type_symbol
_atom_site_fract_x
_atom_site_fract_y
_atom_site_fract_z
Ba1 Ba 0.0000 0.5000 0.0000
Li1 Li 0.0000 0.0000 0.5000
Ni1 Ni 0.5000 0.5000 0.0000
Hg1 Hg 0.5000 0.5000 0.5000
# **ΔE_f**: -68 meV/atom
# **Energy above the lowest structure with this stoichiometry**: 0.03 eV/f.u.
# **DFT total energy**: -12.2 eV/cell

***

Entry 2:
# BaLiHgO2 PBE-GGA relaxed
data_BaLiHgO2
_chemical_formula_sum 'Ba2 Li2 Hg2 O4'
_cell_length_a 6.1334
_cell_length_b 5.1499
_cell_length_c 6.1431
_cell_angle_alpha 90.00
_cell_angle_beta 98.21
_cell_angle_gamma 90.00
_space_group_name_H-M_alt 'P 1 2/c 1'
_space_group_IT_number 13
loop_
_space_group_symop_operation_xyz
'x,y,z'
'-x,-y,-z'
'-x,y,-z+1/2'
'x,-y,z+1/2'
loop_
_atom_site_label
_atom_site_type_symbol
_atom_site_fract_x
_atom_site_fract_y
_atom_site_fract_z
Ba1 Ba 0.0000 0.2021 0.2500
Li1 Li 0.5000 0.0194 0.7500
Hg1 Hg 0.5000 0.5000 0.0000
O1 O 0.2711 0.1260 0.9553
# **DFT total energy**: -41.6 eV/cell
# **Raw formation energy**: -31.12 kcal/mol of atoms

***

Entry 3:
# Ba2LiHgO PBE-GGA relaxed
data_Ba2LiHgO
_chemical_formula_sum 'Ba2 Li1 Hg1 O1'
_cell_length_a 5.7041
_cell_length_b 5.7041
_cell_length_c 4.1770
_cell_angle_alpha 90.00
_cell_angle_beta 90.00
_cell_angle_gamma 90.00
_space_group_name_H-M_alt 'P 4/m m m'
_space_group_IT_number 123
_space_group_name_Hall '-P 4 2'
loop_
_atom_site_label
_atom_site_type_symbol
_atom_site_fract_x
_atom_site_fract_y
_atom_site_fract_z
Ba1 Ba 0.0000 0.5000 0.0000
Li1 Li 0.0000 0.0000 0.5000
Hg1 Hg 0.5000 0.5000 0.5000
O1 O 0.0000 0.0000 0.0000
# **DFT total energy**: -16.7 eV/cell
# **Raw formation energy**: -26.23 kcal/mol of atoms

***

Entry 4:
# Ba2LiHgP PBE-GGA relaxed
data_Ba2LiHgP
_chemical_formula_sum 'Ba2 Li1 Hg1 P1'
_cell_length_a 6.2965
_cell_length_b 6.2965
_cell_length_c 4.6925
_cell_angle_alpha 90.00
_cell_angle_beta 90.00
_cell_angle_gamma 90.00
_space_group_name_H-M_alt 'P 4/m m m'
_space_group_IT_number 123
_space_group_name_Hall '-P 4 2'
loop_
_atom_site_label
_atom_site_type_symbol
_atom_site_fract_x
_atom_site_fract_y
_atom_site_fract_z
Ba1 Ba 0.0000 0.5000 0.0000
Li1 Li 0.0000 0.0000 0.5000
Hg1 Hg 0.5000 0.5000 0.5000
P1 P 0.0000 0.0000 0.0000
# **ΔE_f**: -569 meV/atom
# **DFT total energy**: -14.3 eV/cell